Entry 1:
This record from OQMD describes a relaxed structure of Pr2Ni2AsP. The functional is PBE.

Final energy ... -37.2 eV per formula unit

```
data_Pr2Ni2AsP
_chemical_formula_sum 'Pr2 Ni2 As1 P1'
_cell_length_a 4.0587
_cell_length_b 4.0587
_cell_length_c 8.1667
_cell_angle_alpha 90.00
_cell_angle_beta 90.00
_cell_angle_gamma 120.00
_space_group_name_H-M_alt 'P -6 m 2'
_space_group_IT_number 187
_space_group_name_Hall 'P -6 2'
loop_
_atom_site_label
_atom_site_type_symbol
_atom_site_fract_x
_atom_site_fract_y
_atom_site_fract_z
Pr1 Pr 0.0000 0.0000 0.2437
Ni1 Ni 0.3333 0.6667 0.5000
Ni2 Ni 0.6667 0.3333 0.0000
As1 As 0.6667 0.3333 0.5000
P1 P 0.3333 0.6667 0.0000
```


Entry 2:
This record from OQMD describes a relaxed structure of CoAgAsPd. The functional is PBE.

Distance to the lowest polymorph of the same formula ... 0.000 kcal/mol of atoms

```
data_CoAgAsPd
_chemical_formula_sum 'Co4 Ag4 As4 Pd4'
_cell_length_a 6.233
_cell_length_b 6.233
_cell_length_c 6.233
_cell_angle_alpha 90.00
_cell_angle_beta 90.00
_cell_angle_gamma 90.00
_space_group_name_H-M_alt 'F -4 3 m'
_space_group_IT_number 216
_space_group_name_Hall 'F -4 2 3'
loop_
_atom_site_label
_atom_site_type_symbol
_atom_site_fract_x
_atom_site_fract_y
_atom_site_fract_z
Co1 Co 0.000 0.000 0.000
Ag1 Ag 0.250 0.250 0.250
As1 As 0.250 0.250 0.750
Pd1 Pd 0.000 0.000 0.500
```


Entry 3:
This record from OQMD describes a relaxed structure of SnB3Mo4. The functional is PBE.

Final energy ... -69.0 eV per formula unit

```
data_SnB3Mo4
_chemical_formula_sum 'Sn2 B6 Mo8'
_cell_length_a 3.1747
_cell_length_b 3.1747
_cell_length_c 24.1097
_cell_angle_alpha 90.00
_cell_angle_beta 90.00
_cell_angle_gamma 120.00
_space_group_name_H-M_alt 'P 63/m m c'
_space_group_IT_number 194
_space_group_name_Hall '-P 6c 2c'
loop_
_atom_site_label
_atom_site_type_symbol
_atom_site_fract_x
_atom_site_fract_y
_atom_site_fract_z
Sn1 Sn 0.3333 0.6667 0.2500
B1 B 0.0000 0.0000 0.0000
B2 B 0.3333 0.6667 0.6076
Mo1 Mo 0.0000 0.0000 0.1549
Mo2 Mo 0.3333 0.6667 0.0545
```